No. 1
This record from the Alexandria database describes a relaxed PrCoO3 crystal. The functional is GGA+U.

Cell lengths 3.7980, 3.7980, 3.7980 Å; angles 90.00, 90.00, 90.00 degrees
Sites, in units of the cell vectors:
O 0.0000 0.0000 0.5000
O 0.0000 0.5000 0.0000
O 0.5000 0.0000 0.0000
Co 0.0000 0.0000 0.0000
Pr 0.5000 0.5000 0.5000

Summary:
Space group: Pm-3m
Raw total energy: -0.2578 hartree per atom

***

No. 2
This record from the Alexandria database describes a relaxed Pr2CoO4 crystal. The functional is GGA+U.

Cell lengths 5.7256, 5.7236, 6.8778 Å; angles 114.59, 90.00, 90.00 degrees
Last column: magnetic moment on the atom in μB.
Sites, in units of the cell vectors:
O 0.2500 0.9920 0.5000  0.00
O 0.2594 0.7937 0.0000  0.15
O 0.7500 0.0080 0.5000  0.00
O 0.7406 0.2063 0.0000  0.15
O 0.7500 0.5080 0.5000  0.00
O 0.2500 0.4920 0.5000  0.00
O 0.2406 0.2937 0.0000  0.15
O 0.7594 0.7063 0.0000  0.15
Pr 0.5000 0.1513 0.3025  0.00
Pr 0.0000 0.6513 0.3025  0.00
Pr 0.0000 0.3487 0.6975  0.00
Pr 0.5000 0.8487 0.6975  0.00
Co 0.0000 0.0000 0.0000  2.64
Co 0.5000 0.5000 0.0000  2.64

Summary:
Offset from the most stable computed form: 0 meV/atom
Space group: Cmce
DOS at the Fermi energy: 0.1 states/eV/cell

***

No. 3
This record from the Alexandria database describes a relaxed Pr3CoO6 crystal. The functional is GGA+U.

Cell lengths 5.6697, 7.4965, 7.4965 Å; angles 102.71, 90.00, 90.00 degrees
Last column: magnetic moment on the atom in μB.
Sites, in units of the cell vectors:
O 0.1859 0.7847 0.2153  0.20
O 0.6788 0.8928 0.4129  0.17
O 0.1549 0.0454 0.9546  0.25
O 0.6788 0.5871 0.1072  0.17
O 0.6859 0.2153 0.7847  0.20
O 0.1788 0.4129 0.8928  0.17
O 0.1788 0.1072 0.5871  0.17
O 0.2037 0.6727 0.6463  0.01
O 0.7037 0.3273 0.3537  0.01
O 0.2037 0.3537 0.3273  0.01
O 0.6549 0.9546 0.0454  0.25
O 0.7037 0.6463 0.6727  0.01
Pr 0.4269 0.3958 0.6042  0.00
Pr 0.9736 0.6949 0.9133  0.01
Pr 0.4736 0.3051 0.0867  0.01
Pr 0.9736 0.0867 0.3051  0.01
Pr 0.4736 0.9133 0.6949  0.01
Pr 0.9269 0.6042 0.3958  0.00
Co 0.0056 0.1865 0.8135  2.96
Co 0.5056 0.8135 0.1865  2.96

Summary:
Offset from the most stable computed form: 0 meV/atom
Space group: Cmc2_1

***

No. 4
This record from the Alexandria database describes a relaxed PrCo2O6 crystal. The functional is GGA+U.

Cell lengths 5.5500, 6.3549, 6.7701 Å; angles 90.00, 90.00, 90.00 degrees
Last column: magnetic moment on the atom in μB.
Sites, in units of the cell vectors:
O 0.7204 0.0976 0.3267  0.55
O 0.9242 0.2100 0.0000  0.11
O 0.1940 0.4009 0.7532  0.29
O 0.7204 0.0976 0.6733  0.55
O 0.2204 0.9024 0.1733  0.55
O 0.6940 0.5991 0.2532  0.29
O 0.1637 0.1021 0.5000  0.05
O 0.1940 0.4009 0.2468  0.29
O 0.2204 0.9024 0.8267  0.55
O 0.6940 0.5991 0.7468  0.29
O 0.4242 0.7900 0.5000  0.11
O 0.6637 0.8979 0.0000  0.05
Co 0.0487 0.1535 0.7516  2.36
Co 0.0487 0.1535 0.2484  2.36
Co 0.5487 0.8465 0.2516  2.36
Co 0.5487 0.8465 0.7484  2.36
Pr 0.4964 0.3846 0.5000  0.03
Pr 0.9964 0.6154 0.0000  0.03

Summary:
Space group: Pmn2_1
DOS at the Fermi energy: 7.2 states/eV/cell
Raw total energy: -0.2282 hartree per atom